1.
DFT (GGA-PBE) results for a relaxed structure of Nd2CuSb4Te.

The total DFT energy (no corrections) comes out at -4.572 eV/atom.

The structure belongs to space group P-4m2 (No. 115); the cell edges are 4.464, 4.464 and 10.703 Å and the angles 90.00°, 90.00° and 90.00°. The asymmetric unit holds Nd at (0.000, 0.500, 0.241), Cu at (0.000, 0.000, 0.500), Sb at (0.000, 0.000, 0.000), Sb at (0.000, 0.500, 0.724), Sb at (0.500, 0.500, 0.000) and Te at (0.500, 0.500, 0.500).



2.
DFT (GGA-PBE) results for a relaxed structure of NdScCu.

For the formation energy, the calculation gives 0.7109 eV/atom. For the energy above the most stable polymorph in this dataset, the calculation gives 0.6023 eV/atom.

The structure belongs to space group F-43m (No. 216); the cell edges are 6.663, 6.663 and 6.663 Å and the angles 90.00°, 90.00° and 90.00°. The asymmetric unit holds Nd at (0.000, 0.000, 0.000), Sc at (0.250, 0.250, 0.250) and Cu at (0.250, 0.250, 0.750).



3.
DFT (GGA-PBE) results for a relaxed structure of NdScCu.

For the formation energy, the calculation gives 0.1086 eV/atom. For the energy above the most stable polymorph in this dataset, the calculation gives 0.0000 eV/atom.

The structure belongs to space group F-43m (No. 216); the cell edges are 6.734, 6.734 and 6.734 Å and the angles 90.00°, 90.00° and 90.00°. The asymmetric unit holds Nd at (0.000, 0.000, 0.000), Sc at (0.000, 0.000, 0.500) and Cu at (0.250, 0.250, 0.250).



Repeat the second record exactly.
DFT (GGA-PBE) results for a relaxed structure of NdScCu.

For the formation energy, the calculation gives 0.7109 eV/atom. For the energy above the most stable polymorph in this dataset, the calculation gives 0.6023 eV/atom.

The structure belongs to space group F-43m (No. 216); the cell edges are 6.663, 6.663 and 6.663 Å and the angles 90.00°, 90.00° and 90.00°. The asymmetric unit holds Nd at (0.000, 0.000, 0.000), Sc at (0.250, 0.250, 0.250) and Cu at (0.250, 0.250, 0.750).



Question: Which formula does entry 2 have?
Answer: NdScCu